CaCrRh2: relaxed, PBE.

The structure in CIF format:
```
data_CaCrRh2
_chemical_formula_sum 'Ca4 Cr4 Rh8'
_symmetry_space_group_name_H-M 'F m -3 m'
_symmetry_Int_Tables_number 225
_symmetry_space_group_name_Hall '-F 4 2 3'
_cell_length_a 6.338
_cell_length_b 6.338
_cell_length_c 6.338
_cell_angle_alpha 90.00
_cell_angle_beta 90.00
_cell_angle_gamma 90.00
loop_
_atom_site_label
_atom_site_fract_x
_atom_site_fract_y
_atom_site_fract_z
_atom_site_occupancy
Ca1 0.000 0.000 0.000 1
Cr1 0.000 0.000 0.500 1
Rh1 0.250 0.250 0.250 1
```

Calculated density in Mg/m³: 7.8
Energy of formation in meV/atom: 228


Ca2CrRh: relaxed, PBE.

The structure in CIF format:
```
data_Ca2CrRh
_chemical_formula_sum 'Ca8 Cr4 Rh4'
_symmetry_space_group_name_H-M 'F m m m'
_symmetry_Int_Tables_number 69
_symmetry_space_group_name_Hall '-F 2 2'
_cell_length_a 6.950
_cell_length_b 7.118
_cell_length_c 7.290
_cell_angle_alpha 90.00
_cell_angle_beta 90.00
_cell_angle_gamma 90.00
loop_
_atom_site_label
_atom_site_fract_x
_atom_site_fract_y
_atom_site_fract_z
_atom_site_occupancy
Ca1 0.250 0.250 0.250 1
Cr1 0.000 0.000 0.000 1
Rh1 0.000 0.000 0.500 1
```

Calculated density in Mg/m³: 4.3
Energy of formation in meV/atom: 150


Ca2CrRh: relaxed, PBE.

The structure in CIF format:
```
data_Ca2CrRh
_chemical_formula_sum 'Ca4 Cr2 Rh2'
_symmetry_space_group_name_H-M 'I -4 m 2'
_symmetry_Int_Tables_number 119
_symmetry_space_group_name_Hall 'I -4 -2'
_cell_length_a 4.446
_cell_length_b 4.446
_cell_length_c 8.924
_cell_angle_alpha 90.00
_cell_angle_beta 90.00
_cell_angle_gamma 90.00
loop_
_atom_site_label
_atom_site_fract_x
_atom_site_fract_y
_atom_site_fract_z
_atom_site_occupancy
Ca1 0.000 0.000 0.000 1
Ca2 0.000 0.500 0.250 1
Cr1 0.000 0.500 0.750 1
Rh1 0.000 0.000 0.500 1
```

Calculated density in Mg/m³: 4.4
Energy of formation in meV/atom: 240


CaCr4Rh: relaxed, PBE.

The structure in CIF format:
```
data_CaCr4Rh
_chemical_formula_sum 'Ca4 Cr16 Rh4'
_symmetry_space_group_name_H-M 'F -4 3 m'
_symmetry_Int_Tables_number 216
_symmetry_space_group_name_Hall 'F -4 2 3'
_cell_length_a 6.996
_cell_length_b 6.996
_cell_length_c 6.996
_cell_angle_alpha 90.00
_cell_angle_beta 90.00
_cell_angle_gamma 90.00
loop_
_atom_site_label
_atom_site_fract_x
_atom_site_fract_y
_atom_site_fract_z
_atom_site_occupancy
Ca1 0.000 0.000 0.000 1
Cr1 0.126 0.126 0.626 1
Rh1 0.250 0.250 0.250 1
```

Calculated density in Mg/m³: 6.8
Energy of formation in meV/atom: 423


Ca2CrRh: relaxed, PBE.

The structure in CIF format:
```
data_Ca2CrRh
_chemical_formula_sum 'Ca2 Cr1 Rh1'
_symmetry_space_group_name_H-M 'P 4/m m m'
_symmetry_Int_Tables_number 123
_symmetry_space_group_name_Hall '-P 4 2'
_cell_length_a 3.470
_cell_length_b 3.470
_cell_length_c 7.782
_cell_angle_alpha 90.00
_cell_angle_beta 90.00
_cell_angle_gamma 90.00
loop_
_atom_site_label
_atom_site_fract_x
_atom_site_fract_y
_atom_site_fract_z
_atom_site_occupancy
Ca1 0.000 0.000 0.214 1
Cr1 0.500 0.500 0.500 1
Rh1 0.500 0.500 0.000 1
```

Calculated density in Mg/m³: 4.2
Energy of formation in meV/atom: 166


CaCrRh2: relaxed, PBE.

The structure in CIF format:
```
data_CaCrRh2
_chemical_formula_sum 'Ca2 Cr2 Rh4'
_symmetry_space_group_name_H-M 'C m m m'
_symmetry_Int_Tables_number 65
_symmetry_space_group_name_Hall '-C 2 2'
_cell_length_a 6.374
_cell_length_b 6.674
_cell_length_c 3.107
_cell_angle_alpha 90.00
_cell_angle_beta 90.00
_cell_angle_gamma 90.00
loop_
_atom_site_label
_atom_site_fract_x
_atom_site_fract_y
_atom_site_fract_z
_atom_site_occupancy
Ca1 0.000 0.000 0.000 1
Cr1 0.000 0.500 0.000 1
Rh1 0.250 0.250 0.500 1
```

Calculated density in Mg/m³: 7.5
Energy of formation in meV/atom: 16


CaCrRh2: relaxed, PBE.

The structure in CIF format:
```
data_CaCrRh2
_chemical_formula_sum 'Ca1 Cr1 Rh2'
_symmetry_space_group_name_H-M 'P 4/m m m'
_symmetry_Int_Tables_number 123
_symmetry_space_group_name_Hall '-P 4 2'
_cell_length_a 3.026
_cell_length_b 3.026
_cell_length_c 7.264
_cell_angle_alpha 90.00
_cell_angle_beta 90.00
_cell_angle_gamma 90.00
loop_
_atom_site_label
_atom_site_fract_x
_atom_site_fract_y
_atom_site_fract_z
_atom_site_occupancy
Ca1 0.000 0.000 0.000 1
Cr1 0.000 0.000 0.500 1
Rh1 0.500 0.500 0.299 1
```

Calculated density in Mg/m³: 7.4
Energy of formation in meV/atom: -118


Ca2CrRh: relaxed, PBE.

The structure in CIF format:
```
data_Ca2CrRh
_chemical_formula_sum 'Ca6 Cr3 Rh3'
_symmetry_space_group_name_H-M 'R -3 m'
_symmetry_Int_Tables_number 166
_symmetry_space_group_name_Hall '-R 3 2"'
_cell_length_a 3.4725
_cell_length_b 3.4725
_cell_length_c 28.3538
_cell_angle_alpha 90.00
_cell_angle_beta 90.00
_cell_angle_gamma 120.00
loop_
_atom_site_label
_atom_site_fract_x
_atom_site_fract_y
_atom_site_fract_z
_atom_site_occupancy
Ca1 0.0000 0.0000 0.2374 1
Cr1 0.0000 0.0000 0.0000 1
Rh1 0.0000 0.0000 0.5000 1
```

Calculated density in Mg/m³: 4.0
Energy of formation in meV/atom: 387


Q: Among the records above, which one has the highest calculated density?
A: number 1